[1]
DFT (GGA-PBE) results for a relaxed ZrMn2Zn crystal.

Geometry as POSCAR:
```
ZrMn2Zn
1.0
5.004 0.003 -0.016
3.531 3.546 -0.016
1.481 0.616 3.484
Zr Zn Mn
1 1 2
direct
0.250 0.250 0.250
0.500 0.500 0.500
0.000 0.000 0.000
0.750 0.750 0.750
```

[2]
DFT (GGA-PBE) results for a relaxed ZrMnZn crystal.

Geometry as POSCAR:
```
ZrMnZn
1.0
-0.582 4.600 2.287
-2.631 4.031 -1.888
-0.336 -5.087 0.859
Mn Zn Zr
1 1 1
direct
0.988 0.988 0.000
0.349 0.349 0.000
0.662 0.662 0.000
```

For each record above, in turn, the calculated ΔE_f values are 0.0133; -0.0395 eV per atom.
For each record above, in turn, the calculated volume values are 15.473; 16.863 Å³/atom.